The following is a DFT calculation (GGA-PBE) of CuMoW2 after structural relaxation.

Summary:
- Calculated total energy: -9.775 eV per atom
- Relative energy among the computed polymorphs: 267 meV/atom
- ΔE_f: 0.4331 eV per atom

a = 9.6393 Å, b = 9.6393 Å, c = 9.6393 Å
α = 16.40°, β = 16.40°, γ = 16.40°
With the nearest neighbours (Å) after each atom.
Positions (direct):
W  0.5038  0.5038  0.5038  6 W 2.75, 3 Cu 2.77, 3 Mo 2.95
Mo  0.7500  0.7500  0.7500  6 Mo 2.75, 6 W 2.95
Cu  0.2500  0.2500  0.2500  6 Cu 2.75, 6 W 2.77
W  0.9962  0.9962  0.9962  6 W 2.75, 3 Cu 2.77, 3 Mo 2.95



The following is a DFT calculation (GGA-PBE) of CuMo2W after structural relaxation.

Summary:
- Calculated total energy: -9.271 eV per atom
- Relative energy among the computed polymorphs: 271 meV/atom
- ΔE_f: 0.4073 eV per atom

a = 9.6271 Å, b = 9.6271 Å, c = 9.6271 Å
α = 16.37°, β = 16.37°, γ = 16.37°
With the nearest neighbours (Å) after each atom.
Positions (direct):
Cu  0.7501  0.7501  0.7501  6 Cu 2.74, 3 W 2.76, 3 Mo 2.77
Mo  0.2501  0.2501  0.2501  9 Mo 2.74-2.94, 3 W 2.94
W  0.4963  0.4963  0.4963  6 W 2.74, 3 Cu 2.76, 3 Mo 2.94
Mo  0.0036  0.0036  0.0036  9 Mo 2.74-2.94, 3 Cu 2.77



The following is a DFT calculation (GGA-PBE) of CuMoW2 after structural relaxation.

Summary:
- Calculated total energy: -9.861 eV per atom
- Relative energy among the computed polymorphs: 181 meV/atom
- ΔE_f: 0.3479 eV per atom

a = 4.7799 Å, b = 4.7799 Å, c = 5.0784 Å
α = 83.96°, β = 83.96°, γ = 32.21°
With the nearest neighbours (Å) after each atom.
Positions (direct):
Cu  0.4996  0.4996  0.5009  2 Cu 2.65, 7 W 2.76-2.87, 3 Mo 2.77-2.78
W  0.0005  0.0005  0.0005  5 W 2.65-2.89, 3 Mo 2.71-2.89, 4 Cu 2.86-2.87
W  0.7558  0.7558  0.7399  5 W 2.65-2.89, 3 Cu 2.76-2.77, 4 Mo 2.79-2.94
Mo  0.2441  0.2441  0.2587  2 Mo 2.65, 7 W 2.71-2.94, 3 Cu 2.77-2.78



The following is a DFT calculation (GGA-PBE) of CuMo2W after structural relaxation.

Summary:
- Calculated total energy: -9.368 eV per atom
- Relative energy among the computed polymorphs: 174 meV/atom
- ΔE_f: 0.3099 eV per atom

a = 4.7784 Å, b = 4.7784 Å, c = 5.0764 Å
α = 84.43°, β = 84.43°, γ = 31.99°
With the nearest neighbours (Å) after each atom.
Positions (direct):
Mo  0.9933  0.9933  0.0082  5 Mo 2.63-2.90, 3 Cu 2.77-2.78, 4 W 2.79-2.93
W  0.5066  0.5066  0.4901  2 W 2.63, 7 Mo 2.71-2.93, 3 Cu 2.76
Mo  0.7506  0.7506  0.7504  5 Mo 2.63-2.90, 3 W 2.71-2.90, 4 Cu 2.86
Cu  0.2495  0.2495  0.2514  2 Cu 2.63, 3 W 2.76, 7 Mo 2.77-2.86



The following is a DFT calculation (GGA-PBE) of CuMoW2 after structural relaxation.

Summary:
- Calculated total energy: -9.801 eV per atom
- Relative energy among the computed polymorphs: 241 meV/atom
- ΔE_f: 0.4075 eV per atom

a = 4.4161 Å, b = 4.4161 Å, c = 4.4161 Å
α = 60.00°, β = 60.00°, γ = 60.00°
With the nearest neighbours (Å) after each atom.
Positions (direct):
W  0.2500  0.2500  0.2500  4 Mo 2.70, 4 Cu 2.70
W  0.7500  0.7500  0.7500  4 Mo 2.70, 4 Cu 2.70
Cu  0.0000  0.0000  0.0000  8 W 2.70
Mo  0.5000  0.5000  0.5000  8 W 2.70



The following is a DFT calculation (GGA-PBE) of CuMo2W after structural relaxation.

Summary:
- Calculated total energy: -9.379 eV per atom
- Relative energy among the computed polymorphs: 163 meV/atom
- ΔE_f: 0.2989 eV per atom

a = 2.5977 Å, b = 4.2453 Å, c = 5.5566 Å
α = 90.00°, β = 90.00°, γ = 90.00°
With the nearest neighbours (Å) after each atom.
Positions (direct):
Cu  0.5000  0.5000  0.7500  2 Cu 2.60, 2 W 2.78, 8 Mo 2.83
W  0.5000  0.5000  0.2500  2 W 2.60, 2 Cu 2.78, 8 Mo 2.87
Mo  0.0000  0.0000  0.5088  4 Mo 2.60-2.88, 4 Cu 2.83, 4 W 2.87
Mo  0.0000  0.0000  0.9912  4 Mo 2.60-2.88, 4 Cu 2.83, 4 W 2.87



The following is a DFT calculation (GGA-PBE) of CuMo2W after structural relaxation.

Summary:
- Calculated total energy: -9.466 eV per atom
- Relative energy among the computed polymorphs: 76 meV/atom
- ΔE_f: 0.2123 eV per atom

a = 3.9083 Å, b = 3.9146 Å, c = 3.9146 Å
α = 90.00°, β = 90.00°, γ = 90.00°
With the nearest neighbours (Å) after each atom.
Positions (direct):
W  0.5000  0.5000  0.0000  8 Mo 2.77, 4 Cu 2.77
Mo  0.0000  0.5000  0.5000  4 Cu 2.77, 4 W 2.77, 4 Mo 2.77
Cu  0.5000  0.0000  0.5000  8 Mo 2.77, 4 W 2.77
Mo  0.0000  0.0000  0.0000  4 W 2.77, 4 Cu 2.77, 4 Mo 2.77



The following is a DFT calculation (GGA-PBE) of CuMo2W after structural relaxation.

Summary:
- Calculated total energy: -9.356 eV per atom
- Relative energy among the computed polymorphs: 186 meV/atom
- ΔE_f: 0.3217 eV per atom

a = 2.6073 Å, b = 4.2430 Å, c = 5.5355 Å
α = 90.00°, β = 90.00°, γ = 90.00°
With the nearest neighbours (Å) after each atom.
Positions (direct):
Mo  0.5000  0.5000  0.2497  6 Mo 2.61-2.87, 2 Cu 2.77, 4 W 2.87
Mo  0.0000  0.0000  0.9928  6 Mo 2.61-2.87, 2 W 2.68-2.85, 4 Cu 2.83
Cu  0.5000  0.5000  0.7494  2 Cu 2.61, 6 Mo 2.77-2.83, 4 W 2.83
W  0.0000  0.0000  0.5080  2 W 2.61, 6 Mo 2.68-2.87, 4 Cu 2.83



Number 1: density of states at the Fermi level 0.902 states/eV per atom. Number 2: density of states at the Fermi level 0.889 states/eV per atom. Number 3: density of states at the Fermi level 0.635 states/eV per atom. Number 4: density of states at the Fermi level 0.670 states/eV per atom. Number 5: density of states at the Fermi level 1.057 states/eV per atom. Number 6: density of states at the Fermi level 0.634 states/eV per atom. Number 7: density of states at the Fermi level 0.337 states/eV per atom. Number 8: density of states at the Fermi level 0.729 states/eV per atom.